## CuAsSeBr2 (PBE-GGA)

Data for a relaxed structure of CuAsSeBr2.

Structure (POSCAR):
```
CuAsSeBr2
1.0
5.263 0.000 0.000
0.000 5.263 0.000
0.000 0.000 5.350
Cu As Se Br
1 1 1 2
Direct
0.000 0.000 0.000 Cu
0.500 0.500 0.000 As
0.500 0.500 0.500 Se
0.000 0.500 0.500 Br
0.500 0.000 0.500 Br
```

E_form (uncorrected)   786 meV/atom
Theoretical density   4.2 g/cm³
SG   P4/mmm (123)

=====

## NbP2Pt (PBE-GGA)

Data for a relaxed structure of NbP2Pt.

Structure (POSCAR):
```
NbP2Pt
1.0
0.000 3.092 3.092
3.092 0.000 3.092
3.092 3.092 0.000
Nb P Pt
1 2 1
Direct
0.000 0.000 0.000 Nb
0.250 0.250 0.250 P
0.750 0.750 0.750 P
0.500 0.500 0.500 Pt
```

Theoretical density   9.8 g/cm³
DFT formation energy   -1.10 eV per formula unit
SG   Fm-3m (225)

=====

Q: Number 1 is which compound?
A: CuAsSeBr2